This record from Alexandria describes a relaxed structure of Fe2BiSbF. The functional is PBE with a Hubbard U. Values from VASP.

Values from the calculation:
**Spin magnetization**: 1.465 μB per atom
**Calculated volume**: 22.5 A^3/atom
**Symmetry**: P4/mmm, No. 123
**ρ**: 6.81 g cm⁻³
**Electronic total energy**: -4.125 eV per atom

```
&SYSTEM
  ibrav = 0, nat = 5, ntyp = 4
/
ATOMIC_SPECIES
Sb 121.76 Sb.upf
F 19.00 F.upf
Fe 55.84 Fe.upf
Bi 208.98 Bi.upf
CELL_PARAMETERS angstrom
-2.371 1.002 -3.628
-4.655 -2.167 2.444
-0.952 3.988 1.723
ATOMIC_POSITIONS angstrom
Sb -2.327 -1.083 1.222
F 0.000 0.000 0.000
Fe -0.476 1.994 0.862
Fe -1.185 0.501 -1.814
Bi -3.989 1.412 0.270
```